A plane-wave DFT calculation with PBE+U was carried out for crystalline VTeH11N2O8 at its relaxed geometry.

```
VTeH11N2O8
1.0
7.513 0.000 0.000
0.000 17.005 0.000
-3.835 0.000 6.603
V Te H N O
4 4 44 8 32
direct
0.048 0.103 0.098
0.048 0.397 0.598
0.952 0.603 0.402
0.952 0.897 0.902
0.374 0.517 0.607
0.374 0.983 0.107
0.626 0.017 0.893
0.626 0.483 0.393
0.007 0.565 0.835
0.007 0.935 0.335
0.034 0.609 0.055
0.034 0.891 0.555
0.171 0.733 0.320
0.171 0.767 0.820
0.177 0.640 0.954
0.177 0.860 0.454
0.217 0.549 0.063
0.217 0.951 0.563
0.251 0.198 0.866
0.251 0.302 0.366
0.257 0.245 0.183
0.257 0.255 0.683
0.273 0.692 0.780
0.273 0.808 0.280
0.354 0.161 0.732
0.354 0.339 0.232
0.378 0.051 0.524
0.378 0.449 0.024
0.479 0.233 0.906
0.479 0.267 0.406
0.521 0.733 0.594
0.521 0.767 0.094
0.622 0.551 0.976
0.622 0.949 0.476
0.646 0.661 0.768
0.646 0.839 0.268
0.727 0.192 0.720
0.727 0.308 0.220
0.743 0.745 0.317
0.743 0.755 0.817
0.749 0.698 0.634
0.749 0.802 0.134
0.783 0.049 0.437
0.783 0.451 0.937
0.823 0.140 0.546
0.823 0.360 0.046
0.829 0.233 0.180
0.829 0.267 0.680
0.966 0.109 0.445
0.966 0.391 0.945
0.993 0.065 0.665
0.993 0.435 0.165
0.107 0.591 0.976
0.107 0.909 0.476
0.336 0.212 0.795
0.336 0.288 0.295
0.664 0.712 0.705
0.664 0.788 0.205
0.893 0.091 0.524
0.893 0.409 0.024
0.035 0.150 0.284
0.035 0.350 0.784
0.100 0.008 0.891
0.100 0.492 0.391
0.129 0.173 0.996
0.129 0.327 0.496
0.240 0.611 0.623
0.240 0.889 0.123
0.280 0.727 0.888
0.280 0.773 0.388
0.311 0.049 0.275
0.311 0.451 0.775
0.369 0.051 0.651
0.369 0.449 0.151
0.473 0.570 0.437
0.473 0.930 0.937
0.527 0.070 0.063
0.527 0.430 0.563
0.631 0.551 0.849
0.631 0.949 0.349
0.689 0.549 0.225
0.689 0.951 0.725
0.720 0.227 0.612
0.720 0.273 0.112
0.760 0.111 0.877
0.760 0.389 0.377
0.871 0.673 0.504
0.871 0.827 0.004
0.900 0.508 0.609
0.900 0.992 0.109
0.965 0.650 0.216
0.965 0.850 0.716
```

DFT total energy: -5.47 eV/atom
density: 2.7 g cm⁻³
V: 9.17 Å³/atom
SG: P2_1/c
total moment: 0.0 μB/f.u.